No. 1
This record from Alexandria via LeMat-Bulk describes crystalline Ac2AlGa4Pt3 at its relaxed geometry. The functional is PBE.

Output
Calculated volume   20.94 Å³ per atom
DFT total energy   -0.3749 Ry per atom
Mass density   10666 kg/m³
Crystal system   tetragonal
E_form   -8.81 eV per formula unit

abc: 4.4107 4.4107 10.7647
angles: 90.00 90.00 90.00
Positions (direct):
Ac 0.0000 0.5000 0.2461
Ac 0.5000 0.0000 0.7539
Al 0.0000 0.0000 0.5000
Ga 0.0000 0.0000 0.0000
Ga 0.0000 0.5000 0.6345
Ga 0.5000 0.0000 0.3655
Ga 0.5000 0.5000 0.0000
Pt 0.0000 0.5000 0.8728
Pt 0.5000 0.0000 0.1272
Pt 0.5000 0.5000 0.5000

=====

No. 2
This record from Alexandria via LeMat-Bulk describes crystalline LiGa5Ag4 at its relaxed geometry. The functional is PBE.

Output
Calculated volume   18.23 Å³ per atom
E above lowest polymorph   0.0 kJ per mole of atoms
DFT total energy   -0.2131 Ry per atom
Mass density   7170 kg/m³
Crystal system   triclinic
E_form   -0.54 eV per formula unit

abc: 4.4339 6.4903 7.3409
angles: 114.29 106.92 90.39
Positions (direct):
Li 0.0000 0.0000 0.0000
Ga 0.0000 0.5000 0.0000
Ga 0.2645 0.2316 0.6141
Ga 0.3593 0.8608 0.6563
Ga 0.6407 0.1392 0.3437
Ga 0.7355 0.7684 0.3859
Ag 0.1660 0.4195 0.3373
Ag 0.4893 0.7328 0.9771
Ag 0.5107 0.2672 0.0229
Ag 0.8340 0.5805 0.6627

=====

No. 3
This record from Alexandria via LeMat-Bulk describes crystalline TbCeMgOs at its relaxed geometry. The functional is PBE.

Output
Calculated volume   22.65 Å³ per atom
DFT total energy   -0.4344 Ry per atom
Mass density   9414 kg/m³
Crystal system   cubic
E_form   -0.25 eV per formula unit

abc: 7.1293 7.1293 7.1293
angles: 90.00 90.00 90.00
Positions (direct):
Tb 0.0000 0.0000 0.0000
Tb 0.0000 0.5000 0.5000
Tb 0.5000 0.0000 0.5000
Tb 0.5000 0.5000 0.0000
Ce 0.0000 0.0000 0.5000
Ce 0.0000 0.5000 0.0000
Ce 0.5000 0.0000 0.0000
Ce 0.5000 0.5000 0.5000
Mg 0.2500 0.2500 0.7500
Mg 0.2500 0.7500 0.2500
Mg 0.7500 0.2500 0.2500
Mg 0.7500 0.7500 0.7500
Os 0.2500 0.2500 0.2500
Os 0.2500 0.7500 0.7500
Os 0.7500 0.2500 0.7500
Os 0.7500 0.7500 0.2500

=====

No. 4
This record from Alexandria via LeMat-Bulk describes crystalline TeOs2Pt at its relaxed geometry. The functional is PBE.

Output
Calculated volume   16.85 Å³ per atom
Uncorrected formation energy   0.64 eV per atom
DFT total energy   -0.5347 Ry per atom
Mass density   17319 kg/m³
Crystal system   monoclinic

abc: 8.9166 3.0173 5.1351
angles: 90.00 102.60 90.00
Positions (direct):
Te 0.0000 0.0000 0.0000
Te 0.5000 0.5000 0.0000
Os 0.2489 0.5000 0.2824
Os 0.2511 0.0000 0.7176
Os 0.7489 0.0000 0.2824
Os 0.7511 0.5000 0.7176
Pt 0.0000 0.5000 0.5000
Pt 0.5000 0.0000 0.5000

=====

No. 5
This record from Alexandria via LeMat-Bulk describes crystalline RbNpSnBr6 at its relaxed geometry. The functional is PBE.

Output
Calculated volume   48.12 Å³ per atom
Uncorrected formation energy   -1.17 eV per atom
DFT total energy   -0.3145 Ry per atom
Mass density   3530 kg/m³
Crystal system   orthorhombic

abc: 10.7177 10.7177 10.7177
angles: 121.45 119.14 89.51
Positions (direct):
Rb 0.3095 0.0595 0.2500
Rb 0.6905 0.9405 0.7500
Np 0.0000 0.5000 0.5000
Np 0.5000 0.5000 0.0000
Sn 0.0000 0.0000 0.5000
Sn 0.0000 0.5000 0.0000
Br 0.0795 0.4157 0.2518
Br 0.0795 0.8276 0.6637
Br 0.0880 0.8380 0.2500
Br 0.3171 0.5671 0.7500
Br 0.3361 0.1724 0.7518
Br 0.3361 0.5843 0.1637
Br 0.6639 0.4157 0.8363
Br 0.6639 0.8276 0.2482
Br 0.6829 0.4329 0.2500
Br 0.9120 0.1620 0.7500
Br 0.9205 0.1724 0.3363
Br 0.9205 0.5843 0.7482

=====

No. 6
This record from Alexandria via LeMat-Bulk describes crystalline NdUP2 at its relaxed geometry. The functional is PBE.

Output
Calculated volume   23.46 Å³ per atom
E above lowest polymorph   0.0 kJ per mole of atoms
DFT total energy   -0.5858 Ry per atom
Mass density   7859 kg/m³
Crystal system   trigonal
E_form   -5.00 eV per formula unit

abc: 4.0163 4.0163 20.1564
angles: 90.00 90.00 120.00
Positions (direct):
Nd 0.0000 0.0000 0.0000
Nd 0.3333 0.6667 0.6667
Nd 0.6667 0.3333 0.3333
U 0.0000 0.0000 0.5000
U 0.3333 0.6667 0.1667
U 0.6667 0.3333 0.8333
P 0.0000 0.0000 0.2442
P 0.0000 0.0000 0.7558
P 0.3333 0.6667 0.4224
P 0.3333 0.6667 0.9109
P 0.6667 0.3333 0.0891
P 0.6667 0.3333 0.5776

=====

No. 7
This record from Alexandria via LeMat-Bulk describes crystalline CaCo2Os at its relaxed geometry. The functional is PBE.

Output
Calculated volume   16.19 Å³ per atom
E above lowest polymorph   6.4 kJ per mole of atoms
DFT total energy   -0.4731 Ry per atom
Mass density   8929 kg/m³
Crystal system   monoclinic
E_form   1.69 eV per formula unit

abc: 8.3208 2.7427 5.7215
angles: 90.00 97.33 90.00
Positions (direct):
Ca 0.0000 0.0000 0.0000
Ca 0.5000 0.5000 0.0000
Co 0.2383 0.0000 0.6657
Co 0.2617 0.5000 0.3343
Co 0.7383 0.5000 0.6657
Co 0.7617 0.0000 0.3343
Os 0.0000 0.5000 0.5000
Os 0.5000 0.0000 0.5000

=====

No. 8
This record from Alexandria via LeMat-Bulk describes crystalline SnGeMo3 at its relaxed geometry. The functional is PBE.

Output
Calculated volume   19.96 Å³ per atom
E above lowest polymorph   0.0 kJ per mole of atoms
DFT total energy   -0.5222 Ry per atom
Mass density   7973 kg/m³
Crystal system   cubic
E_form   5.59 eV per formula unit

abc: 4.6385 4.6385 4.6385
angles: 90.00 90.00 90.00
Positions (direct):
Sn 0.0000 0.0000 0.0000
Ge 0.5000 0.5000 0.5000
Mo 0.0000 0.5000 0.5000
Mo 0.5000 0.0000 0.5000
Mo 0.5000 0.5000 0.0000